[1]
Below is SnAsF after structural relaxation, with properties calculated at the PBE-GGA level.

POSCAR file:
```
SnAsF
1.0
3.744 -2.649 0.000
3.744 2.649 0.000
-0.240 0.000 6.671
Sn As F
2 2 2
Direct
0.102 0.102 0.263 Sn
0.898 0.898 0.737 Sn
0.478 0.478 0.317 As
0.522 0.522 0.683 As
0.164 0.164 0.958 F
0.836 0.836 0.042 F
```

## Properties
As for the calculated total energy: -4.516 eV per atom. The uncorrected formation energy comes out at -1.009 eV/atom. The calculation puts the density of states at the Fermi level at 0.384 states/eV per atom. The calculation puts the total magnetic moment at 0.00 μB per formula unit. Its crystal system is monoclinic.

***

[2]
Below is SnAs3F after structural relaxation, with properties calculated at the PBE-GGA level.

POSCAR file:
```
SnAs3F
1.0
4.683 0.000 0.000
0.000 4.683 0.000
0.000 0.000 4.683
Sn As F
1 3 1
Direct
0.000 0.000 0.000 Sn
0.000 0.500 0.500 As
0.500 0.000 0.500 As
0.500 0.500 0.000 As
0.500 0.500 0.500 F
```

## Properties
As for the calculated total energy: -3.797 eV per atom. The uncorrected formation energy comes out at 0.168 eV/atom. The calculation puts the density of states at the Fermi level at 0.524 states/eV per atom. The calculation puts the total magnetic moment at 0.00 μB per formula unit. Its crystal system is cubic.

***

[3]
Below is SnAs2F after structural relaxation, with properties calculated at the PBE-GGA level.

POSCAR file:
```
SnAs2F
1.0
0.000 3.326 3.326
3.326 0.000 3.326
3.326 3.326 0.000
Sn As F
1 2 1
Direct
0.000 0.000 0.000 Sn
0.250 0.250 0.250 As
0.750 0.750 0.750 As
0.500 0.500 0.500 F
```

## Properties
As for the calculated total energy: -4.055 eV per atom. The uncorrected formation energy comes out at -0.261 eV/atom. The calculation puts the density of states at the Fermi level at 0.488 states/eV per atom. The calculation puts the total magnetic moment at 0.00 μB per formula unit. Its crystal system is cubic.